11
Lattice="4.880 -0.300 -0.385 -2.668 6.095 0.476 -2.668 -1.016 6.028" Properties=species:S:1:pos:R:3 comment="PBE CuNi3Pt7, relaxed" energy_ev_per_atom=-5.584 e_form_mev_per_atom=209 dos_at_fermi_per_ev_cell=17.9 pbc="T T T"
Cu -0.229 2.389 3.060
Ni -2.668 4.519 1.707
Ni 2.440 -0.150 -0.192
Ni -2.668 0.560 4.798
Pt 0.619 0.882 1.129
Pt -0.111 -0.283 3.445
Pt -0.347 1.368 5.559
Pt -0.111 3.411 0.560
Pt -2.668 2.540 3.252
Pt -0.347 5.062 2.675
Pt -1.076 3.897 4.990